# PBE-GGA Y3Ho3Sb2Os, optimized geometry
data_Y3Ho3Sb2Os
_chemical_formula_sum 'Y3 Ho3 Sb2 Os1'
_cell_length_a 8.1908
_cell_length_b 8.1908
_cell_length_c 4.2084
_cell_angle_alpha 90.00
_cell_angle_beta 90.00
_cell_angle_gamma 120.00
_symmetry_space_group_name_H-M 'P -6 2 m'
_symmetry_Int_Tables_number 189
_symmetry_space_group_name_Hall 'P -6 -2'
loop_
_atom_site_label
_atom_site_fract_x
_atom_site_fract_y
_atom_site_fract_z
_atom_site_occupancy
Y1 0.0000 0.2394 0.0000 1
Ho1 0.0000 0.6067 0.5000 1
Sb1 0.3333 0.6667 0.0000 1
Os1 0.0000 0.0000 0.5000 1
# - Relative energy among the computed polymorphs: 40 meV/atom
# - Spin magnetization: 0.0 μB per formula unit
# - Theoretical density: 8.12 g/cm3

***

# PBE-GGA ScTlCuAg, optimized geometry
data_ScTlCuAg
_chemical_formula_sum 'Sc4 Tl4 Cu4 Ag4'
_cell_length_a 6.696
_cell_length_b 6.696
_cell_length_c 6.696
_cell_angle_alpha 90.00
_cell_angle_beta 90.00
_cell_angle_gamma 90.00
_symmetry_space_group_name_H-M 'F -4 3 m'
_symmetry_Int_Tables_number 216
_symmetry_space_group_name_Hall 'F -4 2 3'
loop_
_atom_site_label
_atom_site_fract_x
_atom_site_fract_y
_atom_site_fract_z
_atom_site_occupancy
Sc1 0.000 0.000 0.000 1
Tl1 0.250 0.250 0.250 1
Cu1 0.000 0.000 0.500 1
Ag1 0.250 0.250 0.750 1
# - Relative energy among the computed polymorphs: 41 meV/atom
# - Spin magnetization: 0.0 μB per formula unit
# - Theoretical density: 9.31 g/cm3

***

# PBE-GGA YHoZr2Sb2, optimized geometry
data_YHoZr2Sb2
_chemical_formula_sum 'Y2 Ho2 Zr4 Sb4'
_cell_length_a 4.269
_cell_length_b 4.269
_cell_length_c 16.600
_cell_angle_alpha 90.00
_cell_angle_beta 90.00
_cell_angle_gamma 90.00
_symmetry_space_group_name_H-M 'I 4 m m'
_symmetry_Int_Tables_number 107
_symmetry_space_group_name_Hall 'I 4 -2'
loop_
_atom_site_label
_atom_site_fract_x
_atom_site_fract_y
_atom_site_fract_z
_atom_site_occupancy
Y1 0.000 0.000 0.000 1
Ho1 0.000 0.000 0.354 1
Zr1 0.000 0.500 0.178 1
Sb1 0.000 0.000 0.544 1
Sb2 0.000 0.000 0.811 1
# - Spin magnetization: 0.1 μB per formula unit
# - Total DFT energy (no corrections): -82.482 eV for the cell shown
# - Theoretical density: 7.46 g/cm3

***

# PBE-GGA NaPrZnO3, optimized geometry
data_NaPrZnO3
_chemical_formula_sum 'Na4 Pr4 Zn4 O12'
_cell_length_a 3.577
_cell_length_b 10.070
_cell_length_c 9.890
_cell_angle_alpha 90.00
_cell_angle_beta 90.00
_cell_angle_gamma 90.00
_symmetry_space_group_name_H-M 'C m c m'
_symmetry_Int_Tables_number 63
_symmetry_space_group_name_Hall '-C 2c 2'
loop_
_atom_site_label
_atom_site_fract_x
_atom_site_fract_y
_atom_site_fract_z
_atom_site_occupancy
Na1 0.000 0.236 0.250 1
Pr1 0.000 0.500 0.000 1
Zn1 0.000 0.043 0.750 1
O1 0.000 0.134 0.581 1
O2 0.000 0.436 0.750 1
# - Spin magnetization: 0.0 μB per formula unit
# - Total DFT energy (no corrections): -137.266 eV for the cell shown
# - Theoretical density: 5.17 g/cm3

***

# PBE-GGA HfBeCuPb, optimized geometry
data_HfBeCuPb
_chemical_formula_sum 'Hf4 Be4 Cu4 Pb4'
_cell_length_a 6.604
_cell_length_b 6.604
_cell_length_c 6.604
_cell_angle_alpha 90.00
_cell_angle_beta 90.00
_cell_angle_gamma 90.00
_symmetry_space_group_name_H-M 'F -4 3 m'
_symmetry_Int_Tables_number 216
_symmetry_space_group_name_Hall 'F -4 2 3'
loop_
_atom_site_label
_atom_site_fract_x
_atom_site_fract_y
_atom_site_fract_z
_atom_site_occupancy
Hf1 0.000 0.000 0.000 1
Be1 0.250 0.250 0.750 1
Cu1 0.000 0.000 0.500 1
Pb1 0.250 0.250 0.250 1
# - Relative energy among the computed polymorphs: 121 meV/atom
# - Spin magnetization: 0.0 μB per formula unit
# - Theoretical density: 10.57 g/cm3

***

# PBE-GGA GaCu2Hg, optimized geometry
data_GaCu2Hg
_chemical_formula_sum 'Ga4 Cu8 Hg4'
_cell_length_a 6.297
_cell_length_b 6.297
_cell_length_c 6.297
_cell_angle_alpha 90.00
_cell_angle_beta 90.00
_cell_angle_gamma 90.00
_symmetry_space_group_name_H-M 'F -4 3 m'
_symmetry_Int_Tables_number 216
_symmetry_space_group_name_Hall 'F -4 2 3'
loop_
_atom_site_label
_atom_site_fract_x
_atom_site_fract_y
_atom_site_fract_z
_atom_site_occupancy
Ga1 0.000 0.000 0.000 1
Cu1 0.000 0.000 0.500 1
Cu2 0.250 0.250 0.750 1
Hg1 0.250 0.250 0.250 1
# - Total DFT energy (no corrections): -40.067 eV for the cell shown
# - Theoretical density: 10.57 g/cm3

***

# PBE-GGA TmHgAsO, optimized geometry
data_TmHgAsO
_chemical_formula_sum 'Tm2 Hg2 As2 O2'
_cell_length_a 4.069
_cell_length_b 4.069
_cell_length_c 9.160
_cell_angle_alpha 90.00
_cell_angle_beta 90.00
_cell_angle_gamma 90.00
_symmetry_space_group_name_H-M 'P 4/n m m'
_symmetry_Int_Tables_number 129
loop_
_symmetry_equiv_pos_as_xyz
'x,y,z'
'-x,-y,-z'
'-y+1/2,x,z'
'y+1/2,-x,-z'
'-x+1/2,-y+1/2,z'
'x+1/2,y+1/2,-z'
'y,-x+1/2,z'
'-y,x+1/2,-z'
'x+1/2,-y,-z'
'-x+1/2,y,z'
'-y,-x,-z'
'y,x,z'
'-x,y+1/2,-z'
'x,-y+1/2,z'
'y+1/2,x+1/2,-z'
'-y+1/2,-x+1/2,z'
loop_
_atom_site_label
_atom_site_fract_x
_atom_site_fract_y
_atom_site_fract_z
_atom_site_occupancy
Tm1 0.250 0.250 0.108 1
Hg1 0.250 0.750 0.500 1
As1 0.250 0.250 0.714 1
O1 0.250 0.750 0.000 1
# - Relative energy among the computed polymorphs: 0 meV/atom
# - Spin magnetization: 0.0 μB per formula unit
# - Theoretical density: 10.08 g/cm3

***

# PBE-GGA NdTcW, optimized geometry
data_NdTcW
_chemical_formula_sum 'Nd4 Tc4 W4'
_cell_length_a 6.430
_cell_length_b 6.430
_cell_length_c 6.430
_cell_angle_alpha 90.00
_cell_angle_beta 90.00
_cell_angle_gamma 90.00
_symmetry_space_group_name_H-M 'F -4 3 m'
_symmetry_Int_Tables_number 216
_symmetry_space_group_name_Hall 'F -4 2 3'
loop_
_atom_site_label
_atom_site_fract_x
_atom_site_fract_y
_atom_site_fract_z
_atom_site_occupancy
Nd1 0.000 0.000 0.000 1
Tc1 0.000 0.000 0.500 1
W1 0.250 0.250 0.250 1
# - Relative energy among the computed polymorphs: 0 meV/atom
# - Formation enthalpy at 0 K: 0.892 eV per atom
# - Spin magnetization: 0.0 μB per formula unit
# - Theoretical density: 10.65 g/cm3

***

# PBE-GGA NaScPtPb, optimized geometry
data_NaScPtPb
_chemical_formula_sum 'Na4 Sc4 Pt4 Pb4'
_cell_length_a 6.933
_cell_length_b 6.933
_cell_length_c 6.933
_cell_angle_alpha 90.00
_cell_angle_beta 90.00
_cell_angle_gamma 90.00
_symmetry_space_group_name_H-M 'F -4 3 m'
_symmetry_Int_Tables_number 216
_symmetry_space_group_name_Hall 'F -4 2 3'
loop_
_atom_site_label
_atom_site_fract_x
_atom_site_fract_y
_atom_site_fract_z
_atom_site_occupancy
Na1 0.000 0.000 0.000 1
Sc1 0.000 0.000 0.500 1
Pt1 0.250 0.250 0.250 1
Pb1 0.250 0.250 0.750 1
# - Relative energy among the computed polymorphs: 105 meV/atom
# - Spin magnetization: 0.0 μB per formula unit
# - Theoretical density: 9.37 g/cm3

***

# PBE-GGA TaNbCu2B2, optimized geometry
data_TaNbCu2B2
_chemical_formula_sum 'Ta2 Nb2 Cu4 B4'
_cell_length_a 3.047
_cell_length_b 3.297
_cell_length_c 13.978
_cell_angle_alpha 90.00
_cell_angle_beta 90.00
_cell_angle_gamma 90.00
_symmetry_space_group_name_H-M 'A m m 2'
_symmetry_Int_Tables_number 38
_symmetry_space_group_name_Hall 'A 2 -2'
loop_
_atom_site_label
_atom_site_fract_x
_atom_site_fract_y
_atom_site_fract_z
_atom_site_occupancy
Ta1 0.000 0.000 0.000 1
Nb1 0.500 0.000 0.184 1
Cu1 0.000 0.000 0.800 1
Cu2 0.500 0.000 0.386 1
B1 0.000 0.000 0.623 1
B2 0.500 0.000 0.560 1
# - Spin magnetization: 0.0 μB per formula unit
# - Total DFT energy (no corrections): -90.184 eV for the cell shown
# - Theoretical density: 9.99 g/cm3

***

# PBE-GGA LuTaNiGe, optimized geometry
data_LuTaNiGe
_chemical_formula_sum 'Lu4 Ta4 Ni4 Ge4'
_cell_length_a 6.502
_cell_length_b 6.502
_cell_length_c 6.502
_cell_angle_alpha 90.00
_cell_angle_beta 90.00
_cell_angle_gamma 90.00
_symmetry_space_group_name_H-M 'F -4 3 m'
_symmetry_Int_Tables_number 216
_symmetry_space_group_name_Hall 'F -4 2 3'
loop_
_atom_site_label
_atom_site_fract_x
_atom_site_fract_y
_atom_site_fract_z
_atom_site_occupancy
Lu1 0.000 0.000 0.000 1
Ta1 0.250 0.250 0.250 1
Ni1 0.250 0.250 0.750 1
Ge1 0.000 0.000 0.500 1
# - Relative energy among the computed polymorphs: 0 meV/atom
# - Spin magnetization: 0.0 μB per formula unit
# - Theoretical density: 11.77 g/cm3

***

# PBE-GGA Sc2TaB, optimized geometry
data_Sc2TaB
_chemical_formula_sum 'Sc8 Ta4 B4'
_cell_length_a 6.366
_cell_length_b 6.366
_cell_length_c 6.366
_cell_angle_alpha 90.00
_cell_angle_beta 90.00
_cell_angle_gamma 90.00
_symmetry_space_group_name_H-M 'F -4 3 m'
_symmetry_Int_Tables_number 216
_symmetry_space_group_name_Hall 'F -4 2 3'
loop_
_atom_site_label
_atom_site_fract_x
_atom_site_fract_y
_atom_site_fract_z
_atom_site_occupancy
Sc1 0.000 0.000 0.000 1
Sc2 0.250 0.250 0.250 1
Ta1 0.250 0.250 0.750 1
B1 0.000 0.000 0.500 1
# - Spin magnetization: 0.0 μB per formula unit
# - Total DFT energy (no corrections): -115.143 eV for the cell shown
# - Theoretical density: 7.25 g/cm3

***

Q: The highest theoretical density belongs to which entry?
A: LuTaNiGe

***

Q: The highest theoretical density belongs to which entry?
A: LuTaNiGe

***

Q: Which value of theoretical density does entry 6 give?
A: 10.57 g/cm3